1.
# U2Sb4Pd, optimized geometry, DFT PBE
data_U2Sb4Pd
_chemical_formula_sum 'U2 Sb4 Pd1'
_cell_length_a 4.3789
_cell_length_b 4.3789
_cell_length_c 9.2508
_cell_angle_alpha 90.00
_cell_angle_beta 90.00
_cell_angle_gamma 90.00
_symmetry_space_group_name_H-M 'P -4 m 2'
_symmetry_Int_Tables_number 115
loop_
_symmetry_equiv_pos_as_xyz
'x,y,z'
'y,-x,-z'
'-x,-y,z'
'-y,x,-z'
'-x,y,z'
'-y,-x,-z'
'x,-y,z'
'y,x,-z'
loop_
_atom_site_label
_atom_site_type_symbol
_atom_site_fract_x
_atom_site_fract_y
_atom_site_fract_z
U1 U 0.0000 0.5000 0.2356
Sb1 Sb 0.0000 0.0000 0.5000
Sb2 Sb 0.0000 0.5000 0.8329
Sb3 Sb 0.5000 0.5000 0.5000
Pd1 Pd 0.5000 0.5000 0.0000
# VASP energy, eV per formula unit: -46.82
# Formation energy from raw total energies, eV per atom: -0.366


2.
# USb6Pd12, optimized geometry, DFT PBE
data_USb6Pd12
_chemical_formula_sum 'U3 Sb18 Pd36'
_cell_length_a 12.2175
_cell_length_b 12.2175
_cell_length_c 8.9099
_cell_angle_alpha 90.00
_cell_angle_beta 90.00
_cell_angle_gamma 120.00
_symmetry_space_group_name_H-M 'R -3 m'
_symmetry_Int_Tables_number 166
_symmetry_space_group_name_Hall '-R 3 2"'
loop_
_atom_site_label
_atom_site_type_symbol
_atom_site_fract_x
_atom_site_fract_y
_atom_site_fract_z
U1 U 0.0000 0.0000 0.0000
Sb1 Sb 0.0633 0.5317 0.2672
Pd1 Pd 0.0000 0.3752 0.5000
Pd2 Pd 0.0778 0.1555 0.2539
# VASP energy, eV per formula unit: -103.87
# Formation energy from raw total energies, eV per atom: -0.291


3.
# U3Sb4Pd3, optimized geometry, DFT PBE
data_U3Sb4Pd3
_chemical_formula_sum 'U12 Sb16 Pd12'
_cell_length_a 9.7318
_cell_length_b 9.7318
_cell_length_c 9.7318
_cell_angle_alpha 90.00
_cell_angle_beta 90.00
_cell_angle_gamma 90.00
_symmetry_space_group_name_H-M 'I -4 3 d'
_symmetry_Int_Tables_number 220
_symmetry_space_group_name_Hall 'I -4bd 2c 3'
loop_
_atom_site_label
_atom_site_type_symbol
_atom_site_fract_x
_atom_site_fract_y
_atom_site_fract_z
U1 U 0.0000 0.2500 0.8750
Sb1 Sb 0.0880 0.4120 0.5880
Pd1 Pd 0.0000 0.2500 0.3750
# VASP energy, eV per formula unit: -70.75
# Formation energy from raw total energies, eV per atom: -0.481


4.
# V3SbPd, optimized geometry, DFT PBE
data_V3SbPd
_chemical_formula_sum 'V3 Sb1 Pd1'
_cell_length_a 4.7063
_cell_length_b 4.7063
_cell_length_c 4.7063
_cell_angle_alpha 90.00
_cell_angle_beta 90.00
_cell_angle_gamma 90.00
_symmetry_space_group_name_H-M 'P m -3 m'
_symmetry_Int_Tables_number 221
_symmetry_space_group_name_Hall '-P 4 2 3'
loop_
_atom_site_label
_atom_site_type_symbol
_atom_site_fract_x
_atom_site_fract_y
_atom_site_fract_z
V1 V 0.0000 0.0000 0.5000
Sb1 Sb 0.5000 0.5000 0.5000
Pd1 Pd 0.0000 0.0000 0.0000
# VASP energy, eV per formula unit: -31.84
# Formation energy from raw total energies, eV per atom: 0.967
# Offset from the most stable computed form, meV/atom: 0.0


5.
# VSb2Pd9, optimized geometry, DFT PBE
data_VSb2Pd9
_chemical_formula_sum 'V1 Sb2 Pd9'
_cell_length_a 4.0026
_cell_length_b 4.0026
_cell_length_c 12.0201
_cell_angle_alpha 90.00
_cell_angle_beta 90.00
_cell_angle_gamma 90.00
_symmetry_space_group_name_H-M 'P 4/m m m'
_symmetry_Int_Tables_number 123
_symmetry_space_group_name_Hall '-P 4 2'
loop_
_atom_site_label
_atom_site_type_symbol
_atom_site_fract_x
_atom_site_fract_y
_atom_site_fract_z
V1 V 0.0000 0.0000 0.0000
Sb1 Sb 0.0000 0.0000 0.3283
Pd1 Pd 0.0000 0.5000 0.1571
Pd2 Pd 0.0000 0.5000 0.5000
Pd3 Pd 0.5000 0.5000 0.0000
Pd4 Pd 0.5000 0.5000 0.3299
# VASP energy, eV per formula unit: -67.93
# Formation energy from raw total energies, eV per atom: -0.319


6.
# VSbPd, optimized geometry, DFT PBE
data_VSbPd
_chemical_formula_sum 'V1 Sb1 Pd1'
_cell_length_a 4.5038
_cell_length_b 4.5038
_cell_length_c 3.0131
_cell_angle_alpha 90.00
_cell_angle_beta 90.00
_cell_angle_gamma 120.00
_symmetry_space_group_name_H-M 'P 3 m 1'
_symmetry_Int_Tables_number 156
loop_
_symmetry_equiv_pos_as_xyz
'x,y,z'
'-y,x-y,z'
'-x+y,-x,z'
'-y,-x,z'
'-x+y,y,z'
'x,x-y,z'
loop_
_atom_site_label
_atom_site_type_symbol
_atom_site_fract_x
_atom_site_fract_y
_atom_site_fract_z
V1 V 0.0000 0.0000 0.0000
Sb1 Sb 0.3333 0.6667 0.5032
Pd1 Pd 0.6667 0.3333 0.4992
# VASP energy, eV per formula unit: -18.64
# Formation energy from raw total energies, eV per atom: -0.070


7.
# VSbPd4, optimized geometry, DFT PBE
data_VSbPd4
_chemical_formula_sum 'V2 Sb2 Pd8'
_cell_length_a 5.4954
_cell_length_b 7.5319
_cell_length_c 5.4135
_cell_angle_alpha 90.00
_cell_angle_beta 117.43
_cell_angle_gamma 90.00
_symmetry_space_group_name_H-M 'C 1 2/m 1'
_symmetry_Int_Tables_number 12
loop_
_symmetry_equiv_pos_as_xyz
'x,y,z'
'-x,-y,-z'
'-x,y,-z'
'x,-y,z'
'x+1/2,y+1/2,z'
'-x+1/2,-y+1/2,-z'
'-x+1/2,y+1/2,-z'
'x+1/2,-y+1/2,z'
loop_
_atom_site_label
_atom_site_type_symbol
_atom_site_fract_x
_atom_site_fract_y
_atom_site_fract_z
V1 V 0.0000 0.0000 0.0000
Sb1 Sb 0.0000 0.5000 0.5000
Pd1 Pd 0.2477 0.1871 0.7580
# VASP energy, eV per formula unit: -35.37
# Formation energy from raw total energies, eV per atom: -0.226


8.
# VSb2Pd8, optimized geometry, DFT PBE
data_VSb2Pd8
_chemical_formula_sum 'V2 Sb4 Pd16'
_cell_length_a 7.5017
_cell_length_b 12.2256
_cell_length_c 4.4116
_cell_angle_alpha 90.00
_cell_angle_beta 109.58
_cell_angle_gamma 90.00
_symmetry_space_group_name_H-M 'C 1 2/m 1'
_symmetry_Int_Tables_number 12
loop_
_symmetry_equiv_pos_as_xyz
'x,y,z'
'-x,-y,-z'
'-x,y,-z'
'x,-y,z'
'x+1/2,y+1/2,z'
'-x+1/2,-y+1/2,-z'
'-x+1/2,y+1/2,-z'
'x+1/2,-y+1/2,z'
loop_
_atom_site_label
_atom_site_type_symbol
_atom_site_fract_x
_atom_site_fract_y
_atom_site_fract_z
V1 V 0.0000 0.0000 0.0000
Sb1 Sb 0.0000 0.3180 0.5000
Pd1 Pd 0.0000 0.2109 0.0000
Pd2 Pd 0.1350 0.5000 0.8257
Pd3 Pd 0.1924 0.1135 0.6006
# VASP energy, eV per formula unit: -61.33
# Formation energy from raw total energies, eV per atom: -0.220


9.
# VSb6Pd, optimized geometry, DFT PBE
data_VSb6Pd
_chemical_formula_sum 'V2 Sb12 Pd2'
_cell_length_a 8.1667
_cell_length_b 11.7126
_cell_length_c 5.3658
_cell_angle_alpha 90.00
_cell_angle_beta 128.26
_cell_angle_gamma 90.00
_symmetry_space_group_name_H-M 'C 1 2/m 1'
_symmetry_Int_Tables_number 12
loop_
_symmetry_equiv_pos_as_xyz
'x,y,z'
'-x,-y,-z'
'-x,y,-z'
'x,-y,z'
'x+1/2,y+1/2,z'
'-x+1/2,-y+1/2,-z'
'-x+1/2,y+1/2,-z'
'x+1/2,-y+1/2,z'
loop_
_atom_site_label
_atom_site_type_symbol
_atom_site_fract_x
_atom_site_fract_y
_atom_site_fract_z
V1 V 0.0000 0.0000 0.0000
Sb1 Sb 0.2228 0.0000 0.7213
Sb2 Sb 0.2444 0.3072 0.7452
Pd1 Pd 0.0000 0.5000 0.5000
# VASP energy, eV per formula unit: -38.68
# Formation energy from raw total energies, eV per atom: 0.046


10.
# V2SbPd8, optimized geometry, DFT PBE
data_V2SbPd8
_chemical_formula_sum 'V4 Sb2 Pd16'
_cell_length_a 14.1747
_cell_length_b 3.9983
_cell_length_c 6.2202
_cell_angle_alpha 90.00
_cell_angle_beta 104.53
_cell_angle_gamma 90.00
_symmetry_space_group_name_H-M 'C 1 2/m 1'
_symmetry_Int_Tables_number 12
loop_
_symmetry_equiv_pos_as_xyz
'x,y,z'
'-x,-y,-z'
'-x,y,-z'
'x,-y,z'
'x+1/2,y+1/2,z'
'-x+1/2,-y+1/2,-z'
'-x+1/2,y+1/2,-z'
'x+1/2,-y+1/2,z'
loop_
_atom_site_label
_atom_site_type_symbol
_atom_site_fract_x
_atom_site_fract_y
_atom_site_fract_z
V1 V 0.2239 0.0000 0.1454
Sb1 Sb 0.0000 0.5000 0.5000
Pd1 Pd 0.0459 0.0000 0.2325
Pd2 Pd 0.0995 0.5000 0.9656
Pd3 Pd 0.1508 0.0000 0.7124
Pd4 Pd 0.1820 0.5000 0.4190
# VASP energy, eV per formula unit: -66.92
# Formation energy from raw total energies, eV per atom: -0.274


11.
# VSb2Pd2, optimized geometry, DFT PBE
data_VSb2Pd2
_chemical_formula_sum 'V2 Sb4 Pd4'
_cell_length_a 7.4532
_cell_length_b 7.4532
_cell_length_c 3.5268
_cell_angle_alpha 90.00
_cell_angle_beta 90.00
_cell_angle_gamma 90.00
_symmetry_space_group_name_H-M 'P 4/m b m'
_symmetry_Int_Tables_number 127
_symmetry_space_group_name_Hall '-P 4 2ab'
loop_
_atom_site_label
_atom_site_type_symbol
_atom_site_fract_x
_atom_site_fract_y
_atom_site_fract_z
V1 V 0.0000 0.0000 0.0000
Sb1 Sb 0.1628 0.3372 0.0000
Pd1 Pd 0.1369 0.6369 0.5000
# VASP energy, eV per formula unit: -28.03
# Formation energy from raw total energies, eV per atom: -0.056


12.
# VSbPd5, optimized geometry, DFT PBE
data_VSbPd5
_chemical_formula_sum 'V1 Sb1 Pd5'
_cell_length_a 4.6052
_cell_length_b 4.6052
_cell_length_c 5.6343
_cell_angle_alpha 90.00
_cell_angle_beta 90.00
_cell_angle_gamma 90.00
_symmetry_space_group_name_H-M 'P 4/m m m'
_symmetry_Int_Tables_number 123
_symmetry_space_group_name_Hall '-P 4 2'
loop_
_atom_site_label
_atom_site_type_symbol
_atom_site_fract_x
_atom_site_fract_y
_atom_site_fract_z
V1 V 0.0000 0.0000 0.0000
Sb1 Sb 0.5000 0.5000 0.5000
Pd1 Pd 0.0000 0.0000 0.5000
Pd2 Pd 0.0000 0.5000 0.2371
# VASP energy, eV per formula unit: -40.21
# Formation energy from raw total energies, eV per atom: -0.144